Record 1
A plane-wave DFT calculation with GGA-PBEsol was carried out for CdMo2CS after structural relaxation.

Total DFT energy (no corrections) in eV per atom: -5.7684
Volume in A^3/atom: 18.09
Formation energy from raw total energies in eV/atom: 1.984
Size of the total moment in μB per formula unit: 0.001
N(E_F) in states/eV per cell: 5.071

The structure in CIF format:
```
data_CdMo2CS
_chemical_formula_sum 'Cd1 Mo2 C1 S1'
_cell_length_a 4.342
_cell_length_b 4.342
_cell_length_c 4.797
_cell_angle_alpha 90.00
_cell_angle_beta 90.00
_cell_angle_gamma 90.00
_space_group_name_H-M_alt 'P 4/m m m'
_space_group_IT_number 123
_space_group_name_Hall '-P 4 2'
loop_
_atom_site_label
_atom_site_type_symbol
_atom_site_fract_x
_atom_site_fract_y
_atom_site_fract_z
Cd1 Cd 0.000 0.000 0.000
Mo1 Mo 0.000 0.500 0.500
C1 C 0.500 0.500 0.000
S1 S 0.000 0.000 0.500
```

=====

Record 2
A plane-wave DFT calculation with GGA-PBEsol was carried out for Mg2ZrPb after structural relaxation.

Total DFT energy (no corrections) in eV per atom: -4.2130
Volume in A^3/atom: 22.75
Size of the total moment in μB per formula unit: 0.000
N(E_F) in states/eV per cell: 4.482

The structure in CIF format:
```
data_Mg2ZrPb
_chemical_formula_sum 'Mg4 Zr2 Pb2'
_cell_length_a 4.191
_cell_length_b 4.191
_cell_length_c 10.360
_cell_angle_alpha 90.00
_cell_angle_beta 90.00
_cell_angle_gamma 90.00
_space_group_name_H-M_alt 'I 4/m m m'
_space_group_IT_number 139
_space_group_name_Hall '-I 4 2'
loop_
_atom_site_label
_atom_site_type_symbol
_atom_site_fract_x
_atom_site_fract_y
_atom_site_fract_z
Mg1 Mg 0.000 0.500 0.250
Zr1 Zr 0.000 0.000 0.000
Pb1 Pb 0.000 0.000 0.500
```

=====

Record 3
A plane-wave DFT calculation with GGA-PBEsol was carried out for Fe2SiSe after structural relaxation.

Total DFT energy (no corrections) in eV per atom: -6.9672
Volume in A^3/atom: 11.77
Formation energy from raw total energies in eV/atom: -0.086
Size of the total moment in μB per formula unit: 0.411
N(E_F) in states/eV per cell: 6.083

The structure in CIF format:
```
data_Fe2SiSe
_chemical_formula_sum 'Fe4 Si2 Se2'
_cell_length_a 8.195
_cell_length_b 2.885
_cell_length_c 4.084
_cell_angle_alpha 90.00
_cell_angle_beta 102.72
_cell_angle_gamma 90.00
_space_group_name_H-M_alt 'C 1 m 1'
_space_group_IT_number 8
_space_group_name_Hall 'C -2y'
loop_
_atom_site_label
_atom_site_type_symbol
_atom_site_fract_x
_atom_site_fract_y
_atom_site_fract_z
Fe1 Fe 0.000 0.000 0.000
Fe2 Fe 0.221 0.000 0.592
Si1 Si 0.229 0.500 0.078
Se1 Se 0.488 0.000 0.473
```

=====

Record 4
A plane-wave DFT calculation with GGA-PBEsol was carried out for KIr2W after structural relaxation.

Total DFT energy (no corrections) in eV per atom: -7.9285
Volume in A^3/atom: 18.03
Size of the total moment in μB per formula unit: 0.001
N(E_F) in states/eV per cell: 4.657

The structure in CIF format:
```
data_KIr2W
_chemical_formula_sum 'K1 Ir2 W1'
_cell_length_a 2.715
_cell_length_b 2.715
_cell_length_c 9.789
_cell_angle_alpha 90.00
_cell_angle_beta 90.00
_cell_angle_gamma 90.00
_space_group_name_H-M_alt 'P 4 m m'
_space_group_IT_number 99
_space_group_name_Hall 'P 4 -2'
loop_
_atom_site_label
_atom_site_type_symbol
_atom_site_fract_x
_atom_site_fract_y
_atom_site_fract_z
K1 K 0.000 0.000 0.000
Ir1 Ir 0.000 0.000 0.534
Ir2 Ir 0.500 0.500 0.727
W1 W 0.500 0.500 0.332
```

=====

Record 5
A plane-wave DFT calculation with GGA-PBEsol was carried out for Tl2GaI after structural relaxation.

Total DFT energy (no corrections) in eV per atom: -2.5096
Volume in A^3/atom: 29.33
Formation energy from raw total energies in eV/atom: 0.082
Size of the total moment in μB per formula unit: 0.001
N(E_F) in states/eV per cell: 14.926

The structure in CIF format:
```
data_Tl2GaI
_chemical_formula_sum 'Tl8 Ga4 I4'
_cell_length_a 7.771
_cell_length_b 7.771
_cell_length_c 7.771
_cell_angle_alpha 90.00
_cell_angle_beta 90.00
_cell_angle_gamma 90.00
_space_group_name_H-M_alt 'F m -3 m'
_space_group_IT_number 225
_space_group_name_Hall '-F 4 2 3'
loop_
_atom_site_label
_atom_site_type_symbol
_atom_site_fract_x
_atom_site_fract_y
_atom_site_fract_z
Tl1 Tl 0.250 0.250 0.250
Ga1 Ga 0.000 0.000 0.000
I1 I 0.000 0.000 0.500
```

=====

Record 6
A plane-wave DFT calculation with GGA-PBEsol was carried out for La2SiBW after structural relaxation.

Total DFT energy (no corrections) in eV per atom: -6.2506
Volume in A^3/atom: 27.58
Formation energy from raw total energies in eV/atom: 1.202
Size of the total moment in μB per formula unit: 1.155
N(E_F) in states/eV per cell: 4.149

The structure in CIF format:
```
data_La2SiBW
_chemical_formula_sum 'La2 Si1 B1 W1'
_cell_length_a 5.519
_cell_length_b 5.519
_cell_length_c 4.529
_cell_angle_alpha 90.00
_cell_angle_beta 90.00
_cell_angle_gamma 90.00
_space_group_name_H-M_alt 'P 4/m m m'
_space_group_IT_number 123
_space_group_name_Hall '-P 4 2'
loop_
_atom_site_label
_atom_site_type_symbol
_atom_site_fract_x
_atom_site_fract_y
_atom_site_fract_z
La1 La 0.000 0.500 0.000
Si1 Si 0.000 0.000 0.000
B1 B 0.500 0.500 0.500
W1 W 0.000 0.000 0.500
```

=====

Q: Among the records above, which one has the lowest size of the total moment?
A: Mg2ZrPb

=====

Repeat the sixth record exactly.
A plane-wave DFT calculation with GGA-PBEsol was carried out for La2SiBW after structural relaxation.

Total DFT energy (no corrections) in eV per atom: -6.2506
Volume in A^3/atom: 27.58
Formation energy from raw total energies in eV/atom: 1.202
Size of the total moment in μB per formula unit: 1.155
N(E_F) in states/eV per cell: 4.149

The structure in CIF format:
```
data_La2SiBW
_chemical_formula_sum 'La2 Si1 B1 W1'
_cell_length_a 5.519
_cell_length_b 5.519
_cell_length_c 4.529
_cell_angle_alpha 90.00
_cell_angle_beta 90.00
_cell_angle_gamma 90.00
_space_group_name_H-M_alt 'P 4/m m m'
_space_group_IT_number 123
_space_group_name_Hall '-P 4 2'
loop_
_atom_site_label
_atom_site_type_symbol
_atom_site_fract_x
_atom_site_fract_y
_atom_site_fract_z
La1 La 0.000 0.500 0.000
Si1 Si 0.000 0.000 0.000
B1 B 0.500 0.500 0.500
W1 W 0.000 0.000 0.500
```

=====

Please write out number 3 again, unchanged.
A plane-wave DFT calculation with GGA-PBEsol was carried out for Fe2SiSe after structural relaxation.

Total DFT energy (no corrections) in eV per atom: -6.9672
Volume in A^3/atom: 11.77
Formation energy from raw total energies in eV/atom: -0.086
Size of the total moment in μB per formula unit: 0.411
N(E_F) in states/eV per cell: 6.083

The structure in CIF format:
```
data_Fe2SiSe
_chemical_formula_sum 'Fe4 Si2 Se2'
_cell_length_a 8.195
_cell_length_b 2.885
_cell_length_c 4.084
_cell_angle_alpha 90.00
_cell_angle_beta 102.72
_cell_angle_gamma 90.00
_space_group_name_H-M_alt 'C 1 m 1'
_space_group_IT_number 8
_space_group_name_Hall 'C -2y'
loop_
_atom_site_label
_atom_site_type_symbol
_atom_site_fract_x
_atom_site_fract_y
_atom_site_fract_z
Fe1 Fe 0.000 0.000 0.000
Fe2 Fe 0.221 0.000 0.592
Si1 Si 0.229 0.500 0.078
Se1 Se 0.488 0.000 0.473
```